Crystalline HfCo2TcC at its relaxed geometry, computed with GGA-PBE.

a = 3.8679 Å, b = 3.8679 Å, c = 4.0963 Å
α = 90.00°, β = 90.00°, γ = 90.00°
Positions (direct):
Hf  0.0000  0.0000  0.0000
Co  0.0000  0.5000  0.5000
Co  0.5000  0.0000  0.5000
Tc  0.5000  0.5000  0.0000
C  0.5000  0.5000  0.5000

energy relative to the elements = -27 kJ per mole of atoms
final energy = -9.028 eV/atom
DOS at the Fermi energy = 1.7 states/eV/f.u.

Crystalline Hf2CoWC at its relaxed geometry, computed with GGA-PBE.

a = 4.5928 Å, b = 4.5928 Å, c = 3.5853 Å
α = 90.00°, β = 90.00°, γ = 90.00°
Positions (direct):
Hf  0.0000  0.5000  0.0000
Hf  0.5000  0.0000  0.0000
Co  0.0000  0.0000  0.5000
W  0.5000  0.5000  0.5000
C  0.0000  0.0000  0.0000

energy relative to the elements = -12 kJ per mole of atoms
final energy = -9.963 eV/atom
DOS at the Fermi energy = 4.1 states/eV/f.u.

Crystalline HfZrCoC2 at its relaxed geometry, computed with GGA-PBE.

a = 4.2222 Å, b = 4.2222 Å, c = 4.5313 Å
α = 90.00°, β = 90.00°, γ = 90.00°
Positions (direct):
Hf  0.0000  0.0000  0.0000
Zr  0.5000  0.5000  0.5000
Co  0.5000  0.5000  0.0000
C  0.0000  0.5000  0.5000
C  0.5000  0.0000  0.5000

energy relative to the elements = 144 kJ per mole of atoms
final energy = -7.318 eV/atom
DOS at the Fermi energy = 4.1 states/eV/f.u.